VASP calculation (PBE) on crystalline Pr6YSn10 at its relaxed geometry.

POSCAR file:
```
Pr6YSn10
1.0
9.466 0.000 0.000
-4.733 8.198 0.000
0.000 0.000 6.463
Pr Y Sn
6 1 10
Cartesian
-1.851 3.206 1.727
-2.882 4.992 4.736
3.702 0.000 1.727
1.851 3.206 4.736
5.764 0.000 4.736
2.882 4.992 1.727
0.000 0.000 3.231
-1.174 2.034 5.286
-3.559 6.164 1.176
2.349 0.000 5.286
1.174 2.034 1.176
0.000 5.465 0.000
0.000 5.465 3.231
4.733 2.733 0.000
4.733 2.733 3.231
7.117 0.000 1.176
3.559 6.164 5.286
```

Summary:
The final energy is -4.99 eV/atom. Its space-group type is No. 162.


VASP calculation (PBE) on crystalline TbMnTlBr6 at its relaxed geometry.

POSCAR file:
```
TbMnTlBr6
1.0
7.172 0.000 0.000
-3.586 6.211 0.000
0.000 0.000 14.661
Tb Mn Tl Br
2 2 2 12
Cartesian
0.000 4.141 3.665
3.586 2.070 10.996
0.000 4.141 10.996
3.586 2.070 3.665
0.000 0.000 0.000
0.000 0.000 7.330
-1.266 2.347 9.406
-2.186 3.942 12.585
1.266 2.347 12.585
-0.920 6.134 9.406
2.666 0.078 2.076
1.400 2.270 5.254
2.186 3.942 9.406
0.920 6.134 12.585
4.506 0.078 5.254
2.320 3.864 2.076
5.772 2.270 2.076
4.852 3.864 5.254
```

Summary:
The final energy is -4.21 eV/atom. Its space-group type is No. 163.